A:
An optimized crystal structure of GeBMo3, computed with PBE-GGA.

Results
crystal system = orthorhombic
mass density = 8.7 g/cm3

a = 4.548 Å, b = 5.802 Å, c = 5.802 Å
α = 111.54°, β = 90.00°, γ = 90.00°
Fractional positions:
Mo 0.250 0.352 0.147
Mo 0.250 0.807 0.193
Mo 0.750 0.648 0.853
Ge 0.750 0.635 0.365
B 0.000 0.000 0.000
Ge 0.250 0.365 0.635
Mo 0.250 0.853 0.648
B 0.500 0.000 0.000
Mo 0.750 0.147 0.352
Mo 0.750 0.193 0.807

=====

B:
An optimized crystal structure of GeBMo3, computed with PBE-GGA.

Results
crystal system = cubic
mass density = 8.4 g/cm3

a = 4.192 Å, b = 4.192 Å, c = 4.192 Å
α = 90.00°, β = 90.00°, γ = 90.00°
Fractional positions:
Mo 0.000 0.500 0.000
B 0.000 0.000 0.000
Ge 0.500 0.500 0.500
Mo 0.000 0.000 0.500
Mo 0.500 0.000 0.000

=====

Stability ranking, top and bottom: A is the most stable and B is the least stable.